The following is a SCAN calculation of a PBEsol-optimized structure of HfTi3H, from Alexandria.

For the calculated total energy, the calculation gives -22.92 eV per atom. Its total magnetization is 0.3 Bohr magnetons per cell.

It has space group Pm-3m (No. 221), with a = 4.164 Å, b = 4.164 Å, c = 4.164 Å, α = 90.00°, β = 90.00° and γ = 90.00°. The inequivalent atoms are Hf at (0.000, 0.000, 0.000), Ti at (0.000, 0.500, 0.500) and H at (0.500, 0.500, 0.500).

=====

The following is a SCAN calculation of a PBEsol-optimized structure of ReSeIBr2, from Alexandria.

The uncorrected formation energy is 1.5528 eV per atom. Its total magnetization is 5.9 Bohr magnetons per cell.

It has space group P4/mmm (No. 123), with a = 5.662 Å, b = 5.662 Å, c = 5.325 Å, α = 90.00°, β = 90.00° and γ = 90.00°. The inequivalent atoms are Re at (0.000, 0.000, 0.000), Se at (0.500, 0.500, 0.000), I at (0.500, 0.500, 0.500) and Br at (0.000, 0.500, 0.500).